Record 1
A plane-wave DFT calculation with PBE-GGA was carried out for GaPt4Rh after structural relaxation.

a = 7.0256 Å, b = 5.5307 Å, c = 5.5917 Å
α = 119.64°, β = 102.01°, γ = 90.00°
With the nearest neighbours (Å) after each atom.
Positions (direct):
Rh: 0.3474 0.1535 0.3070  3 Ga 2.63-2.77, 9 Pt 2.76-2.88
Pt: 0.3323 0.1459 0.7928  6 Pt 2.71-2.81, 3 Ga 2.75-2.85, 3 Rh 2.76-2.83
Rh: 0.6526 0.8465 0.6930  3 Ga 2.63-2.77, 9 Pt 2.76-2.88
Pt: 0.3323 0.6469 0.7928  6 Pt 2.71-2.81, 3 Ga 2.75-2.85, 3 Rh 2.76-2.83
Pt: 0.6677 0.3531 0.2072  6 Pt 2.71-2.81, 3 Ga 2.75-2.85, 3 Rh 2.76-2.83
Pt: 0.0037 0.7487 0.4975  1 Ga 2.76, 10 Pt 2.77-2.81, 1 Rh 2.85
Ga: 0.6674 0.3597 0.7194  3 Rh 2.63-2.77, 9 Pt 2.75-2.85
Pt: 0.0000 0.7525 0.0000  8 Pt 2.74-2.81, 2 Ga 2.78, 2 Rh 2.88
Ga: 0.3326 0.6403 0.2806  3 Rh 2.63-2.77, 9 Pt 2.75-2.85
Pt: 0.0000 0.2475 0.0000  8 Pt 2.74-2.81, 2 Ga 2.78, 2 Rh 2.88
Pt: 0.6677 0.8541 0.2072  6 Pt 2.71-2.81, 3 Ga 2.75-2.85, 3 Rh 2.76-2.83
Pt: 0.9963 0.2513 0.5025  1 Ga 2.76, 10 Pt 2.77-2.81, 1 Rh 2.85

Summary:
**Magnetization**: 0.0 μB/cell
**Raw total energy**: -5.999 eV per atom
**Energy relative to the lowest polymorph listed for this composition**: 0 meV/atom
**SG**: No. 12
**Crystal system**: monoclinic
**Theoretical density**: 17.26 Mg/m³
**Energy of formation**: -0.242 eV/atom

Record 2
A plane-wave DFT calculation with PBE-GGA was carried out for ZnAgC2N after structural relaxation.

a = 3.9364 Å, b = 3.7265 Å, c = 3.9364 Å
α = 90.00°, β = 90.00°, γ = 90.00°
With the nearest neighbours (Å) after each atom.
Positions (direct):
C: 0.0000 0.0000 0.5000  2 N 1.97
Zn: 0.0000 0.5000 0.0000  2 N 1.86
Ag: 0.5000 0.5000 0.5000  8 C 2.71, 4 Zn 2.78
C: 0.5000 0.0000 0.0000  2 N 1.97
N: 0.0000 0.0000 0.0000  2 Zn 1.86, 4 C 1.97

Summary:
**Magnetization**: 0.0 μB/cell
**Energy relative to the elements, uncorrected**: 2.476 eV per atom
**Raw total energy**: -3.704 eV per atom
**SG**: No. 123
**Crystal system**: tetragonal
**Theoretical density**: 6.08 Mg/m³

Record 3
A plane-wave DFT calculation with PBE-GGA was carried out for BaSr2NdS4 after structural relaxation.

a = 4.2691 Å, b = 7.4065 Å, c = 7.4675 Å
α = 70.76°, β = 90.00°, γ = 90.00°
With the nearest neighbours (Å) after each atom.
Positions (direct):
Ba: 0.5000 0.5000 0.0000  6 S 3.10
S: 0.0000 0.7541 0.7315  1 Nd 2.95, 3 Sr 2.96-3.12, 2 Ba 3.10
Nd: 0.0000 0.5000 0.5000  6 S 2.95-2.97
S: 0.5000 0.2551 0.7342  3 Sr 2.97-3.10, 2 Nd 2.97, 1 Ba 3.10
S: 0.0000 0.2459 0.2685  1 Nd 2.95, 3 Sr 2.96-3.12, 2 Ba 3.10
Sr: 0.0000 0.0000 0.0000  6 S 3.10-3.12
Sr: 0.5000 0.0000 0.5000  6 S 2.96-2.97
S: 0.5000 0.7449 0.2658  3 Sr 2.97-3.10, 2 Nd 2.97, 1 Ba 3.10

Summary:
**Magnetization**: 0.0 μB/cell
**Energy relative to the elements, uncorrected**: -2.041 eV per atom
**Raw total energy**: -5.362 eV per atom
**SG**: No. 10
**Crystal system**: monoclinic
**Theoretical density**: 4.36 Mg/m³

Record 4
A plane-wave DFT calculation with PBE-GGA was carried out for Sc6SbO12 after structural relaxation.

a = 6.1569 Å, b = 6.1569 Å, c = 6.1569 Å
α = 99.21°, β = 99.21°, γ = 99.21°
With the nearest neighbours (Å) after each atom.
Positions (direct):
O: 0.0498 0.9075 0.6875  1 Sb 2.00, 2 Sc 2.16-2.19
Sc: 0.6071 0.1423 0.3221  6 O 2.06-2.20
O: 0.4206 0.1794 0.5835  4 Sc 2.06-2.20
O: 0.3125 0.9502 0.0925  1 Sb 2.00, 2 Sc 2.16-2.19
Sc: 0.8577 0.6779 0.3929  6 O 2.06-2.20
Sc: 0.3221 0.6071 0.1423  6 O 2.06-2.20
O: 0.9502 0.0925 0.3125  1 Sb 2.00, 2 Sc 2.16-2.19
O: 0.8206 0.4165 0.5794  4 Sc 2.06-2.20
Sb: 0.0000 0.0000 0.0000  6 O 2.00
O: 0.1794 0.5835 0.4206  4 Sc 2.06-2.20
O: 0.0925 0.3125 0.9502  1 Sb 2.00, 2 Sc 2.16-2.19
Sc: 0.1423 0.3221 0.6071  6 O 2.06-2.20
O: 0.5794 0.8206 0.4165  4 Sc 2.06-2.20
O: 0.6875 0.0498 0.9075  1 Sb 2.00, 2 Sc 2.16-2.19
O: 0.9075 0.6875 0.0498  1 Sb 2.00, 2 Sc 2.16-2.19
O: 0.4165 0.5794 0.8206  4 Sc 2.06-2.20
O: 0.5835 0.4206 0.1794  4 Sc 2.06-2.20
Sc: 0.3929 0.8577 0.6779  6 O 2.06-2.20
Sc: 0.6779 0.3929 0.8577  6 O 2.06-2.20

Summary:
**Magnetization**: 0.1 μB/cell
**Energy relative to the elements, uncorrected**: -3.029 eV per atom
**Raw total energy**: -8.377 eV per atom
**SG**: No. 148
**Crystal system**: trigonal
**Theoretical density**: 4.34 Mg/m³